A relaxed Np3TlHg2Cl12 crystal. Source: Alexandria, functional GGA-PBE.

Cell and atoms, written as CIF:
```
data_Np3TlHg2Cl12
_chemical_formula_sum 'Np9 Tl3 Hg6 Cl36'
_cell_length_a 10.3326
_cell_length_b 10.3326
_cell_length_c 25.3022
_cell_angle_alpha 90.00
_cell_angle_beta 90.00
_cell_angle_gamma 120.00
_space_group_name_H-M_alt 'R -3 m'
_space_group_IT_number 166
_space_group_name_Hall '-R 3 2"'
loop_
_atom_site_label
_atom_site_type_symbol
_atom_site_fract_x
_atom_site_fract_y
_atom_site_fract_z
_atom_site_occupancy
Np1 Np 0.0000 0.5000 0.0000 1
Tl1 Tl 0.0000 0.0000 0.5000 1
Hg1 Hg 0.0000 0.0000 0.1099 1
Cl1 Cl 0.0261 0.5131 0.1005 1
Cl2 Cl 0.0784 0.5392 0.3413 1
```

Properties
- ρ: 3.7 g cm⁻³

=====

A relaxed Zr2HgAs crystal. Source: Alexandria, functional GGA-PBE.

Cell and atoms, written as CIF:
```
data_Zr2HgAs
_chemical_formula_sum 'Zr4 Hg2 As2'
_cell_length_a 4.104
_cell_length_b 5.008
_cell_length_c 8.050
_cell_angle_alpha 90.00
_cell_angle_beta 90.00
_cell_angle_gamma 90.00
_space_group_name_H-M_alt 'C m m m'
_space_group_IT_number 65
_space_group_name_Hall '-C 2 2'
loop_
_atom_site_label
_atom_site_type_symbol
_atom_site_fract_x
_atom_site_fract_y
_atom_site_fract_z
_atom_site_occupancy
Zr1 Zr 0.000 0.000 0.223 1
Hg1 Hg 0.000 0.500 0.500 1
As1 As 0.000 0.500 0.000 1
```

Properties
- Energy relative to the lowest polymorph listed for this composition: 0.48 eV per formula unit
- Calculated formation energy: -0.48 eV per atom
- ρ: 9.2 g cm⁻³

=====

A relaxed Th6RuRh2Se3 crystal. Source: Alexandria, functional GGA-PBE.

Cell and atoms, written as CIF:
```
data_Th6RuRh2Se3
_chemical_formula_sum 'Th12 Ru2 Rh4 Se6'
_cell_length_a 18.884
_cell_length_b 4.111
_cell_length_c 8.754
_cell_angle_alpha 90.00
_cell_angle_beta 108.44
_cell_angle_gamma 90.00
_space_group_name_H-M_alt 'C 1 2/m 1'
_space_group_IT_number 12
loop_
_space_group_symop_operation_xyz
'x,y,z'
'-x,-y,-z'
'-x,y,-z'
'x,-y,z'
'x+1/2,y+1/2,z'
'-x+1/2,-y+1/2,-z'
'-x+1/2,y+1/2,-z'
'x+1/2,-y+1/2,z'
loop_
_atom_site_label
_atom_site_type_symbol
_atom_site_fract_x
_atom_site_fract_y
_atom_site_fract_z
_atom_site_occupancy
Th1 Th 0.007 0.000 0.229 1
Th2 Th 0.157 0.500 0.098 1
Th3 Th 0.173 0.500 0.567 1
Ru1 Ru 0.000 0.500 0.000 1
Rh1 Rh 0.167 0.000 0.335 1
Se1 Se 0.000 0.500 0.500 1
Se2 Se 0.167 0.000 0.833 1
```

Properties
- ρ: 10.0 g cm⁻³

=====

A relaxed YCuPb crystal. Source: Alexandria, functional GGA-PBE.

Cell and atoms, written as CIF:
```
data_YCuPb
_chemical_formula_sum 'Y2 Cu2 Pb2'
_cell_length_a 3.706
_cell_length_b 4.275
_cell_length_c 8.952
_cell_angle_alpha 90.00
_cell_angle_beta 96.86
_cell_angle_gamma 90.00
_space_group_name_H-M_alt 'P 1 m 1'
_space_group_IT_number 6
loop_
_space_group_symop_operation_xyz
'x,y,z'
'x,-y,z'
loop_
_atom_site_label
_atom_site_type_symbol
_atom_site_fract_x
_atom_site_fract_y
_atom_site_fract_z
_atom_site_occupancy
Y1 Y 0.000 0.000 0.000 1
Y2 Y 0.139 0.000 0.417 1
Cu1 Cu 0.437 0.000 0.746 1
Cu2 Cu 0.473 0.500 0.899 1
Pb1 Pb 0.561 0.500 0.216 1
Pb2 Pb 0.882 0.500 0.658 1
```

Properties
- Calculated formation energy: -0.26 eV per atom
- ρ: 8.5 g cm⁻³

=====

A relaxed CoRuCl3 crystal. Source: Alexandria, functional GGA-PBE.

Cell and atoms, written as CIF:
```
data_CoRuCl3
_chemical_formula_sum 'Co6 Ru6 Cl18'
_cell_length_a 6.1055
_cell_length_b 6.1055
_cell_length_c 16.4942
_cell_angle_alpha 90.00
_cell_angle_beta 90.00
_cell_angle_gamma 120.00
_space_group_name_H-M_alt 'R 3 c'
_space_group_IT_number 161
_space_group_name_Hall 'R 3 -2"c'
loop_
_atom_site_label
_atom_site_type_symbol
_atom_site_fract_x
_atom_site_fract_y
_atom_site_fract_z
_atom_site_occupancy
Co1 Co 0.0000 0.0000 0.0000 1
Ru1 Ru 0.0000 0.0000 0.1938 1
Cl1 Cl 0.0004 0.3141 0.1008 1
```

Properties
- Energy relative to the lowest polymorph listed for this composition: 0.75 eV per formula unit
- ρ: 5.0 g cm⁻³

=====

A relaxed MgZr5Zn6 crystal. Source: Alexandria, functional GGA-PBE.

Cell and atoms, written as CIF:
```
data_MgZr5Zn6
_chemical_formula_sum 'Mg2 Zr10 Zn12'
_cell_length_a 14.832
_cell_length_b 6.772
_cell_length_c 4.644
_cell_angle_alpha 90.00
_cell_angle_beta 108.19
_cell_angle_gamma 90.00
_space_group_name_H-M_alt 'C 1 2/m 1'
_space_group_IT_number 12
loop_
_space_group_symop_operation_xyz
'x,y,z'
'-x,-y,-z'
'-x,y,-z'
'x,-y,z'
'x+1/2,y+1/2,z'
'-x+1/2,-y+1/2,-z'
'-x+1/2,y+1/2,-z'
'x+1/2,-y+1/2,z'
loop_
_atom_site_label
_atom_site_type_symbol
_atom_site_fract_x
_atom_site_fract_y
_atom_site_fract_z
_atom_site_occupancy
Mg1 Mg 0.000 0.000 0.000 1
Zr1 Zr 0.000 0.500 0.000 1
Zr2 Zr 0.166 0.500 0.666 1
Zr3 Zr 0.167 0.000 0.667 1
Zn1 Zn 0.000 0.238 0.500 1
Zn2 Zn 0.164 0.244 0.165 1
```

Properties
- Calculated formation energy: -0.24 eV per atom
- ρ: 6.5 g cm⁻³

=====

no.,E (eV/atom)
1,-4.938
2,-5.994
3,-7.748
4,-5.015
5,-4.482
6,-4.575